No. 1
Computed, not measured: a PBEsol-optimized structure of CrRuCl2 at the meta-GGA SCAN level of DFT.

Unit cell a=2.934 b=3.097 c=8.236 alpha=100.84 beta=100.26 gamma=90.00
Site moments in Bohr magnetons follow the coordinates.
Positions (direct):
Cr1 0.425 0.425 0.850  -1.46
Ru1 0.330 0.830 0.660  0.89
Cl1 0.729 0.229 0.457  0.09
Cl2 0.017 0.017 0.033  -0.02

Values from the calculation:
The offset from the most stable computed form is 0 meV per atom. Its crystal system is orthorhombic. The calculation puts the formation energy without anion corrections at 0.1 eV per formula unit.

No. 2
Computed, not measured: a PBEsol-optimized structure of Cr3RuCl at the meta-GGA SCAN level of DFT.

Unit cell a=4.030 b=4.030 c=4.030 alpha=90.00 beta=90.00 gamma=90.00
Positions (direct):
Ru1 0.500 0.500 0.500
Cr1 0.000 0.000 0.500
Cr2 0.500 0.000 0.000
Cr3 0.000 0.500 0.000
Cl1 0.000 0.000 0.000

Values from the calculation:
The offset from the most stable computed form is 326 meV per atom. Its crystal system is cubic. The calculation puts the formation energy without anion corrections at 5.7 eV per formula unit.

No. 3
Computed, not measured: a PBEsol-optimized structure of CrRuCl2 at the meta-GGA SCAN level of DFT.

Unit cell a=4.391 b=4.391 c=4.391 alpha=60.00 beta=60.00 gamma=60.00
Site moments in Bohr magnetons follow the coordinates.
Positions (direct):
Cl1 0.250 0.250 0.250  -0.10
Cl2 0.750 0.750 0.750  -0.10
Ru1 0.000 0.000 0.000  -2.17
Cr1 0.500 0.500 0.500  4.07

Values from the calculation:
The offset from the most stable computed form is 223 meV per atom. Its crystal system is cubic. The calculation puts the formation energy without anion corrections at 1.0 eV per formula unit.